Compound: YNb3Cr
Source: Alexandria via LeMat-Bulk
Functional: PBE
Structure: optimized geometry

ρ in g cm⁻³: 6.5
N(E_F) in states/eV per cell: 7.348
Energy of formation from the pure elements in eV/atom: 0.586
Uncorrected energy in eV/atom: -8.673
Volume in Å³ per cell: 106.7
Magnetic moment in μB per formula unit: 0.000

Cell: 4.7425 4.7425 4.7425 Å, 90.00 90.00 90.00°
Element x y z (fractional)
Cr: 0.0000 0.0000 0.0000
Y: 0.5000 0.5000 0.5000
Nb: 0.0000 0.0000 0.5000
Nb: 0.0000 0.5000 0.0000
Nb: 0.5000 0.0000 0.0000